Record 1
# Ta2MnH6

Crystalline Ta2MnH6 at its relaxed geometry (PBE, the Alexandria database).

abc: 5.416 5.416 5.416
angles: 146.82 131.30 60.20
Sites, in units of the cell vectors:
Ta1 0.164 0.164 0.000
Ta2 0.836 0.836 0.000
Mn1 0.500 0.500 0.000
H1 0.103 0.339 0.763
H2 0.270 0.000 0.270
H3 0.424 0.661 0.763
H4 0.576 0.339 0.237
H5 0.730 0.000 0.730
H6 0.897 0.661 0.237

Properties
The value obtained for the magnetic moment is 2.24 μB per formula unit. The raw total energy comes out at -5.960 eV/atom.

Record 2
# LaFe4I12

Crystalline LaFe4I12 at its relaxed geometry (PBE, the Alexandria database).

abc: 9.571 9.571 9.571
angles: 109.47 109.47 109.47
Sites, in units of the cell vectors:
La1 0.000 0.000 0.000
Fe1 0.000 0.000 0.500
Fe2 0.000 0.500 0.000
Fe3 0.500 0.000 0.000
Fe4 0.500 0.500 0.500
I1 0.000 0.236 0.764
I2 0.000 0.764 0.236
I3 0.236 0.000 0.764
I4 0.236 0.236 0.472
I5 0.236 0.472 0.236
I6 0.236 0.764 0.000
I7 0.472 0.236 0.236
I8 0.528 0.764 0.764
I9 0.764 0.000 0.236
I10 0.764 0.236 0.000
I11 0.764 0.528 0.764
I12 0.764 0.764 0.528

Properties
The value obtained for the magnetic moment is 14.74 μB per formula unit. The value obtained for the energy relative to the elements, uncorrected is -187 meV/atom.

Record 3
# BH2I2

Crystalline BH2I2 at its relaxed geometry (PBE, the Alexandria database).

abc: 5.119 5.119 5.119
angles: 112.34 112.34 103.87
Sites, in units of the cell vectors:
B1 0.000 0.000 0.000
H1 0.440 0.440 0.000
H2 0.560 0.560 0.000
I1 0.250 0.750 0.500
I2 0.750 0.250 0.500

Properties
The value obtained for the magnetic moment is 0.00 μB per formula unit. The energy above the lowest structure with this stoichiometry comes out at 879 meV/atom.

no.,calculated volume (Å³/atom)
1,7.2
2,39.7
3,20.5